No. 1
6
Lattice="-3.4687 -2.7797 4.4926 -0.9030 -3.3082 5.3087 -0.7997 4.2456 5.2635" Properties=species:S:1:pos:R:3 comment="AgP, relaxed, DFT PBE-GGA" rho_g_cm3=6.40 sg="Cm, No. 8" pbc="T T T"
P -0.5475 1.0981 2.4325
P -4.1604 -0.7432 12.5985
P -3.4769 -0.7843 10.4230
Ag -4.2918 -5.6001 9.8662
Ag -2.4208 0.1604 7.7147
Ag -1.4783 0.0350 4.6703

No. 2
16
Lattice="-7.6587 5.5858 4.4402 -4.9945 -8.8484 2.5166 1.5905 -0.0865 2.8523" Properties=species:S:1:pos:R:3 comment="AgP, relaxed, DFT PBE-GGA" rho_g_cm3=5.15 sg="P4/m, No. 83" pbc="T T T"
P -2.5404 -0.5645 3.2704
P -4.1102 -4.7175 2.1488
P -4.6055 -5.0815 4.2849
P -3.5968 0.9511 2.0345
P -8.5430 1.4550 4.8079
P -8.5223 -2.7846 6.5387
P -9.0564 -4.2137 4.9222
P -6.4572 1.7324 5.5242
Ag -6.2612 -3.4738 5.2569
Ag -5.4414 2.6865 3.1158
Ag -4.8015 0.1247 4.5521
Ag -7.2118 -5.9491 3.8410
Ag -10.0868 -0.6819 5.6039
Ag -7.0930 -0.8657 5.7998
Ag -3.9698 -2.4834 4.0092
Ag -2.5664 -2.5806 1.3528

No. 3
6
Lattice="1.5331 -5.3099 -1.9436 4.2162 -3.9242 -1.0712 1.0845 -5.0750 4.7263" Properties=species:S:1:pos:R:3 comment="AgP, relaxed, DFT PBE-GGA" rho_g_cm3=6.37 sg="Cm, No. 8" pbc="T T T"
Ag 3.2267 -7.4386 1.8921
Ag 5.4730 -8.8825 -2.7234
Ag 4.6906 -9.9233 1.3364
P 2.0754 -4.6045 0.9313
P 1.0052 -2.6414 1.1044
P 4.0851 -6.7468 -1.8473

No. 4
12
Lattice="-6.7569 -4.5043 -0.5563 1.3003 -2.4023 3.6574 -3.3627 4.5294 4.1704" Properties=species:S:1:pos:R:3 comment="AgP, relaxed, DFT PBE-GGA" rho_g_cm3=5.31 sg="Pmn2_1, No. 31" pbc="T T T"
P -1.4309 1.9044 1.9608
P -5.2823 -0.3156 7.1669
P -1.1646 -2.8510 2.6807
P -2.8932 0.8630 3.1538
P -6.8134 -1.7502 2.8310
P -4.0013 -4.7420 2.4472
Ag -5.0029 -2.7486 1.3583
Ag -6.8853 -2.2977 5.2513
Ag -2.4937 -1.0759 1.5648
Ag -2.6376 0.5339 5.6010
Ag 0.9548 -1.8754 3.5874
Ag -5.1593 0.0850 2.4289

No. 5
4
Lattice="-2.5842 2.7941 -2.1127 -0.7058 -4.2837 -0.3175 -3.1534 0.2128 4.1386" Properties=species:S:1:pos:R:3 comment="AgP, relaxed, DFT PBE-GGA" rho_g_cm3=5.40 sg="P6_3/mmc, No. 194" pbc="T T T"
Ag -3.6970 -1.7648 2.1880
Ag -2.7464 0.4880 -0.4797
P -4.3231 0.5945 1.5896
P -2.1203 -1.8712 0.1187

No. 6
4
Lattice="3.0337 0.0000 0.0000 0.0000 3.0337 0.0000 0.0000 0.0000 7.9734" Properties=species:S:1:pos:R:3 comment="AgP, relaxed, DFT PBE-GGA" rho_g_cm3=6.28 sg="P4/nmm, No. 129" pbc="T T T"
P 1.5169 1.5169 4.5107
P 0.0000 0.0000 5.4559
Ag 0.0000 0.0000 0.0051
Ag 1.5169 1.5169 1.9883

| no. | raw total energy (eV/atom) | E above lowest polymorph (eV/atom) | ΔH_f (0 K) (meV/atom) |
| --- | --- | --- | --- |
| 1 | -3.76 | 0.257 | 372 |
| 2 | -3.91 | 0.108 | 224 |
| 3 | -3.92 | 0.096 | 212 |
| 4 | -3.94 | 0.078 | 193 |
| 5 | -3.62 | 0.398 | 513 |
| 6 | -3.98 | 0.039 | 155 |